Density functional theory data (PBE-GGA) for SrLiIrW after structural relaxation.

a = 4.721 Å, b = 4.721 Å, c = 4.721 Å
α = 60.00°, β = 60.00°, γ = 60.00°
Sites, in units of the cell vectors:
1 Ir 0.250 0.250 0.250
2 Li 0.750 0.750 0.750
3 Sr 0.500 0.500 0.500
4 W 0.000 0.000 0.000

Output
For the energy, the calculation gives -0.2102 hartree per atom.